PuMnSb2 | GGA-PBE | relaxed

Its volume is 94.0 Å³/cell. As for the density of states at the Fermi level: 10.91 states/eV/cell. As for the formation energy (no corrections): -0.16 eV per atom. The calculation puts the mass density at 9583 kg/m³. For the calculated total energy, the calculation gives -32.37 eV per formula unit. Its total magnetization is 9.564 Bohr magnetons per cell.

Cell: 4.783 4.783 4.109 Å, 90.00 90.00 90.00°
Positions (direct):
1 Pu 0.000 0.000 0.000
2 Mn 0.500 0.500 0.000
3 Sb 0.000 0.500 0.500
4 Sb 0.500 0.000 0.500

PuMnSb3 | GGA-PBE | relaxed

Its volume is 473.2 Å³/cell. As for the density of states at the Fermi level: 50.19 states/eV/cell. As for the formation energy (no corrections): -0.33 eV per atom. The calculation puts the mass density at 9324 kg/m³. For the calculated total energy, the calculation gives -37.49 eV per formula unit. Its total magnetization is 10.805 Bohr magnetons per cell.

Cell: 12.512 6.231 6.069 Å, 90.00 90.00 90.00°
Positions (direct):
1 Pu 0.194 0.002 0.250
2 Pu 0.194 0.498 0.750
3 Pu 0.806 0.502 0.250
4 Pu 0.806 0.998 0.750
5 Mn 0.397 0.250 0.000
6 Mn 0.397 0.250 0.500
7 Mn 0.603 0.750 0.000
8 Mn 0.603 0.750 0.500
9 Sb 0.001 0.250 0.000
10 Sb 0.001 0.250 0.500
11 Sb 0.269 0.506 0.250
12 Sb 0.269 0.994 0.750
13 Sb 0.439 0.603 0.750
14 Sb 0.439 0.897 0.250
15 Sb 0.561 0.103 0.750
16 Sb 0.561 0.397 0.250
17 Sb 0.731 0.006 0.250
18 Sb 0.731 0.494 0.750
19 Sb 0.999 0.750 0.000
20 Sb 0.999 0.750 0.500

PuMnSb2 | GGA-PBE | relaxed

Its volume is 101.5 Å³/cell. As for the density of states at the Fermi level: 8.37 states/eV/cell. As for the formation energy (no corrections): 0.15 eV per atom. The calculation puts the mass density at 8875 kg/m³. For the calculated total energy, the calculation gives -31.16 eV per formula unit. Its total magnetization is 9.151 Bohr magnetons per cell.

Cell: 10.222 10.222 10.222 Å, 19.25 19.25 19.25°
Positions (direct):
1 Pu 0.000 0.000 0.000
2 Mn 0.500 0.500 0.500
3 Sb 0.106 0.106 0.106
4 Sb 0.894 0.894 0.894